[1]
## CrSi (PBE-GGA)

Data for a relaxed CrSi crystal.

For the calculated volume, the calculation gives 12.0 A^3/atom. The raw formation energy is -5 kJ per mole of atoms. The total magnetization is 0.00 μB/f.u. The calculation puts the density of states at the Fermi level at 2.0 states/eV/f.u.

The space group is Cmmm (No. 65) and the conventional cell measures 3.0144, 4.2558 and 3.7395 Å, with angles of 90.00, 90.00 and 90.00 degrees. The asymmetric unit holds Cr at (0.0000, 0.0000, 0.0000) and Si at (0.0000, 0.5000, 0.5000).

***

[2]
## CrSi (PBE-GGA)

Data for a relaxed CrSi crystal.

For the calculated volume, the calculation gives 11.8 A^3/atom. The raw formation energy is -9 kJ per mole of atoms. The total magnetization is 0.00 μB/f.u. The calculation puts the density of states at the Fermi level at 1.8 states/eV/f.u.

The space group is Cmmm (No. 65) and the conventional cell measures 5.3168, 5.8957 and 3.0148 Å, with angles of 90.00, 90.00 and 90.00 degrees. The asymmetric unit holds Cr at (0.2200, 0.0000, 0.0000) and Si at (0.0000, 0.2797, 0.5000).

***

[3]
## CrSi2 (PBE-GGA)

Data for a relaxed CrSi2 crystal.

For the calculated volume, the calculation gives 11.9 A^3/atom. The raw formation energy is -36 kJ per mole of atoms. The total magnetization is 0.00 μB/f.u.

The space group is P6_222 (No. 180) and the conventional cell measures 4.4055, 4.4055 and 6.3623 Å, with angles of 90.00, 90.00 and 120.00 degrees. The asymmetric unit holds Cr at (0.0000, 0.5000, 0.1667) and Si at (0.1662, 0.3323, 0.5000).

***

[4]
## CrSi2 (PBE-GGA)

Data for a relaxed CrSi2 crystal.

For the calculated volume, the calculation gives 12.1 A^3/atom. The raw formation energy is -15 kJ per mole of atoms. The total magnetization is 0.00 μB/f.u. The calculation puts the density of states at the Fermi level at 1.1 states/eV/f.u.

The space group is Pnma (No. 62) and the conventional cell measures 4.6288, 4.0956 and 7.6831 Å, with angles of 90.00, 90.00 and 90.00 degrees. The asymmetric unit holds Cr at (0.1433, 0.2500, 0.1213), Si at (0.1259, 0.2500, 0.8027) and Si at (0.1441, 0.2500, 0.4604).

***

[5]
## CrSi (PBE-GGA)

Data for a relaxed CrSi crystal.

For the calculated volume, the calculation gives 12.1 A^3/atom. The raw formation energy is -23 kJ per mole of atoms. The total magnetization is 0.00 μB/f.u. The calculation puts the density of states at the Fermi level at 1.0 states/eV/f.u.

The space group is Cm (No. 8) and the conventional cell measures 8.5226, 3.0450 and 5.7861 Å, with angles of 90.00, 104.50 and 90.00 degrees. The asymmetric unit holds Cr at (0.0000, 0.0000, 0.0000), Cr at (0.0681, 0.0000, 0.5406), Cr at (0.2163, 0.5000, 0.2857), Si at (0.1924, 0.5000, 0.8597), Si at (0.3668, 0.0000, 0.6604) and Si at (0.4185, 0.0000, 0.2503).

***

[6]
## CrSi (PBE-GGA)

Data for a relaxed CrSi crystal.

For the calculated volume, the calculation gives 11.9 A^3/atom. The raw formation energy is -15 kJ per mole of atoms. The total magnetization is 0.00 μB/f.u. The calculation puts the density of states at the Fermi level at 1.8 states/eV/f.u.

The space group is C2/m (No. 12) and the conventional cell measures 8.5031, 2.7976 and 4.1763 Å, with angles of 90.00, 105.82 and 90.00 degrees. The asymmetric unit holds Cr at (0.1252, 0.0000, 0.3370) and Si at (0.1198, 0.5000, 0.8367).

***

[7]
## Cr3Si (PBE-GGA)

Data for a relaxed Cr3Si crystal.

For the calculated volume, the calculation gives 11.8 A^3/atom. The distance to the lowest polymorph of the same formula is 1.292 eV per formula unit. The raw formation energy is -4 kJ per mole of atoms. The total magnetization is 0.00 μB/f.u. The calculation puts the density of states at the Fermi level at 5.1 states/eV/f.u.

The space group is Pm-3m (No. 221) and the conventional cell measures 3.6133, 3.6133 and 3.6133 Å, with angles of 90.00, 90.00 and 90.00 degrees. The asymmetric unit holds Cr at (0.0000, 0.0000, 0.5000) and Si at (0.5000, 0.5000, 0.5000).

***

[8]
## Cr3Si (PBE-GGA)

Data for a relaxed Cr3Si crystal.

For the calculated volume, the calculation gives 12.0 A^3/atom. The distance to the lowest polymorph of the same formula is 2.209 eV per formula unit. The raw formation energy is 18 kJ per mole of atoms. The total magnetization is 0.44 μB/f.u. The calculation puts the density of states at the Fermi level at 6.2 states/eV/f.u.

The space group is R-3m (No. 166, hexagonal axes) and the conventional cell measures 2.5956, 2.5956 and 24.6057 Å, with angles of 90.00, 90.00 and 120.00 degrees. The asymmetric unit holds Cr at (0.0000, 0.0000, 0.0000), Cr at (0.0000, 0.0000, 0.2488) and Si at (0.0000, 0.0000, 0.5000).